Record 1
This record from the Alexandria database describes an optimized crystal structure of Pr2Os. The functional is GGA-PBE.

Geometry as POSCAR:
```
Pr2Os
1.0
6.684 0.000 0.000
0.000 6.684 0.000
0.000 0.000 4.377
Pr Os
4 2
direct
0.196 0.196 0.000 Pr
0.304 0.696 0.500 Pr
0.696 0.304 0.500 Pr
0.804 0.804 0.000 Pr
0.000 0.000 0.500 Os
0.500 0.500 0.000 Os
```

Summary:
Calculated volume ... 32.59 Å³ per atom
Calculated formation energy ... 0.07 eV per atom
Symmetry ... No. 136
Electronic total energy ... -41.158 eV for the cell shown



Record 2
This record from the Alexandria database describes an optimized crystal structure of HfNpPaPt. The functional is GGA-PBE.

Geometry as POSCAR:
```
HfNpPaPt
1.0
6.909 0.000 0.000
0.000 6.909 0.000
0.000 0.000 6.909
Hf Np Pa Pt
4 4 4 4
direct
0.000 0.000 0.000 Hf
0.000 0.500 0.500 Hf
0.500 0.000 0.500 Hf
0.500 0.500 0.000 Hf
0.250 0.250 0.750 Np
0.250 0.750 0.250 Np
0.750 0.250 0.250 Np
0.750 0.750 0.750 Np
0.000 0.000 0.500 Pa
0.000 0.500 0.000 Pa
0.500 0.000 0.000 Pa
0.500 0.500 0.500 Pa
0.250 0.250 0.250 Pt
0.250 0.750 0.750 Pt
0.750 0.250 0.750 Pt
0.750 0.750 0.250 Pt
```

Summary:
Calculated volume ... 20.62 Å³ per atom
Calculated formation energy ... -0.22 eV per atom
Symmetry ... No. 216
Electronic total energy ... -157.286 eV for the cell shown



Record 3
This record from the Alexandria database describes an optimized crystal structure of Sc2SbSe. The functional is GGA-PBE.

Geometry as POSCAR:
```
Sc2SbSe
1.0
4.031 0.000 0.000
0.000 4.031 0.000
0.000 0.000 5.712
Sc Sb Se
2 1 1
direct
0.000 0.000 0.000 Sc
0.500 0.500 0.500 Sc
0.000 0.000 0.500 Sb
0.500 0.500 0.000 Se
```

Summary:
Polymorph energy (0 for the lowest one) ... 16 meV per atom
E_form (uncorrected) ... -1248 meV/atom
Calculated volume ... 23.20 Å³ per atom
Symmetry ... No. 123
Electronic total energy ... -25.264 eV for the cell shown



Record 4
This record from the Alexandria database describes an optimized crystal structure of Cs3K5Rb16. The functional is GGA-PBE.

Geometry as POSCAR:
```
Cs3K5Rb16
1.0
13.795 -7.921 0.000
13.795 7.921 0.000
-0.093 0.000 9.823
Cs K Rb
3 5 16
direct
0.000 0.000 0.000 Cs
0.173 0.670 0.669 Cs
0.670 0.173 0.669 Cs
0.006 0.502 0.010 K
0.176 0.176 0.669 K
0.502 0.006 0.010 K
0.505 0.505 0.478 K
0.661 0.661 0.649 K
0.015 0.015 0.498 Rb
0.173 0.173 0.169 Rb
0.179 0.654 0.170 Rb
0.332 0.332 0.859 Rb
0.334 0.334 0.361 Rb
0.343 0.830 0.321 Rb
0.346 0.848 0.824 Rb
0.504 0.993 0.505 Rb
0.508 0.508 0.979 Rb
0.654 0.179 0.170 Rb
0.674 0.674 0.155 Rb
0.821 0.821 0.832 Rb
0.830 0.343 0.321 Rb
0.840 0.840 0.333 Rb
0.848 0.346 0.824 Rb
0.993 0.504 0.505 Rb
```

Summary:
Calculated volume ... 89.45 Å³ per atom
Calculated formation energy ... 0.01 eV per atom
Symmetry ... No. 8
Electronic total energy ... -23.342 eV for the cell shown



Record 5
This record from the Alexandria database describes an optimized crystal structure of TcHOs2Ru. The functional is GGA-PBE.

Geometry as POSCAR:
```
TcHOs2Ru
1.0
3.904 0.000 0.000
0.000 3.904 0.000
0.000 0.000 3.891
Tc H Os Ru
1 1 2 1
direct
0.000 0.000 0.000 Tc
0.500 0.500 0.500 H
0.000 0.500 0.500 Os
0.500 0.000 0.500 Os
0.500 0.500 0.000 Ru
```

Summary:
Polymorph energy (0 for the lowest one) ... 0 meV per atom
Calculated volume ... 11.86 Å³ per atom
Symmetry ... No. 123
Electronic total energy ... -44.698 eV for the cell shown



Record 6
This record from the Alexandria database describes an optimized crystal structure of Tm2Al2Zn15. The functional is GGA-PBE.

Geometry as POSCAR:
```
Tm2Al2Zn15
1.0
4.502 2.599 4.351
-4.502 2.599 4.351
0.000 -5.198 4.351
Tm Al Zn
2 2 15
direct
0.163 0.163 0.163 Tm
0.837 0.837 0.837 Tm
0.400 0.400 0.400 Al
0.600 0.600 0.600 Al
0.000 0.500 0.500 Zn
0.148 0.148 0.665 Zn
0.148 0.665 0.148 Zn
0.196 0.500 0.804 Zn
0.196 0.804 0.500 Zn
0.335 0.852 0.852 Zn
0.500 0.000 0.500 Zn
0.500 0.196 0.804 Zn
0.500 0.500 0.000 Zn
0.500 0.804 0.196 Zn
0.665 0.148 0.148 Zn
0.804 0.196 0.500 Zn
0.804 0.500 0.196 Zn
0.852 0.335 0.852 Zn
0.852 0.852 0.335 Zn
```

Summary:
Calculated volume ... 16.08 Å³ per atom
Calculated formation energy ... -0.20 eV per atom
Symmetry ... No. 166
Electronic total energy ... -39.375 eV for the cell shown



Record 7
This record from the Alexandria database describes an optimized crystal structure of CaIO3. The functional is GGA-PBE.

Geometry as POSCAR:
```
CaIO3
1.0
4.266 0.000 0.000
0.000 4.266 0.000
0.000 0.000 4.266
Ca I O
1 1 3
direct
0.000 0.000 0.000 Ca
0.500 0.500 0.500 I
0.000 0.500 0.500 O
0.500 0.000 0.500 O
0.500 0.500 0.000 O
```

Summary:
E_form (uncorrected) ... -916 meV/atom
Calculated volume ... 15.53 Å³ per atom
Symmetry ... No. 221
Electronic total energy ... -23.009 eV for the cell shown



no.,spin magnetization (μB per formula unit)
1,0.0
2,5.7
3,0.0
4,0.0
5,0.0
6,0.0
7,0.0